1.
DFT (GGA-PBEsol) results for a relaxed EuAu3 crystal.

Values from the calculation:
The symmetry is Fm-3m, No. 225. Its formation energy from the elements is -0.507 eV per atom.

Cell lengths 4.862, 4.862, 4.862 Å; angles 60.00, 60.00, 60.00 degrees
Sites, in units of the cell vectors:
Eu (0.000, 0.000, 0.000)
Au (0.250, 0.250, 0.250)
Au (0.500, 0.500, 0.500)
Au (0.750, 0.750, 0.750)

=====

2.
DFT (GGA-PBEsol) results for a relaxed Na4Ge9O20 crystal.

Values from the calculation:
The symmetry is I4_1/a, No. 88. The raw formation energy is -1.77 eV per atom.

Cell lengths 11.264, 11.264, 11.264 Å; angles 96.24, 96.24, 141.49 degrees
Sites, in units of the cell vectors:
Na (0.227, 0.083, 0.968)
Na (0.242, 0.273, 0.357)
Na (0.385, 0.742, 0.468)
Na (0.417, 0.885, 0.143)
Na (0.583, 0.115, 0.857)
Na (0.615, 0.258, 0.532)
Na (0.758, 0.727, 0.643)
Na (0.773, 0.917, 0.032)
Ge (0.064, 0.655, 0.817)
Ge (0.086, 0.208, 0.813)
Ge (0.106, 0.727, 0.313)
Ge (0.155, 0.837, 0.591)
Ge (0.227, 0.414, 0.622)
Ge (0.253, 0.436, 0.091)
Ge (0.292, 0.606, 0.878)
Ge (0.337, 0.247, 0.683)
Ge (0.375, 0.125, 0.250)
Ge (0.625, 0.875, 0.750)
Ge (0.663, 0.753, 0.317)
Ge (0.708, 0.394, 0.122)
Ge (0.747, 0.564, 0.909)
Ge (0.773, 0.586, 0.378)
Ge (0.845, 0.163, 0.409)
Ge (0.894, 0.273, 0.687)
Ge (0.914, 0.792, 0.187)
Ge (0.936, 0.345, 0.183)
O (0.018, 0.277, 0.116)
O (0.026, 0.828, 0.359)
O (0.031, 0.333, 0.859)
O (0.105, 0.342, 0.453)
O (0.152, 0.605, 0.262)
O (0.158, 0.110, 0.762)
O (0.163, 0.045, 0.195)
O (0.167, 0.526, 0.698)
O (0.199, 0.267, 0.980)
O (0.213, 0.781, 0.480)
O (0.223, 0.838, 0.740)
O (0.233, 0.713, 0.932)
O (0.281, 0.301, 0.568)
O (0.328, 0.469, 0.802)
O (0.338, 0.098, 0.616)
O (0.350, 0.968, 0.305)
O (0.390, 0.652, 0.047)
O (0.402, 0.518, 0.240)
O (0.455, 0.150, 0.118)
O (0.468, 0.663, 0.618)
O (0.532, 0.337, 0.382)
O (0.545, 0.850, 0.882)
O (0.598, 0.482, 0.760)
O (0.610, 0.348, 0.953)
O (0.650, 0.032, 0.695)
O (0.662, 0.902, 0.384)
O (0.672, 0.531, 0.198)
O (0.719, 0.699, 0.432)
O (0.767, 0.287, 0.068)
O (0.777, 0.162, 0.260)
O (0.787, 0.219, 0.520)
O (0.801, 0.733, 0.020)
O (0.833, 0.474, 0.302)
O (0.837, 0.955, 0.805)
O (0.842, 0.890, 0.238)
O (0.848, 0.395, 0.738)
O (0.895, 0.658, 0.547)
O (0.969, 0.667, 0.141)
O (0.974, 0.172, 0.641)
O (0.982, 0.723, 0.884)

=====

3.
DFT (GGA-PBEsol) results for a relaxed Cu2Br2N crystal.

Values from the calculation:
The symmetry is I4/mmm, No. 139. The raw formation energy is 0.56 eV per atom.

Cell lengths 6.334, 6.334, 6.334 Å; angles 134.90, 134.90, 65.69 degrees
Sites, in units of the cell vectors:
Cu (0.167, 0.167, 0.000)
Cu (0.833, 0.833, 0.000)
Br (0.250, 0.750, 0.500)
Br (0.750, 0.250, 0.500)
N (0.000, 0.000, 0.000)

=====

4.
DFT (GGA-PBEsol) results for a relaxed OsN3Cl crystal.

Values from the calculation:
The symmetry is Pm-3m, No. 221. The raw formation energy is 1.21 eV per atom.

Cell lengths 3.879, 3.879, 3.879 Å; angles 90.00, 90.00, 90.00 degrees
Sites, in units of the cell vectors:
Os (0.000, 0.000, 0.000)
N (0.000, 0.000, 0.500)
N (0.000, 0.500, 0.000)
N (0.500, 0.000, 0.000)
Cl (0.500, 0.500, 0.500)

=====

5.
DFT (GGA-PBEsol) results for a relaxed Cr2SiW crystal.

Values from the calculation:
The symmetry is P4mm, No. 99. The raw formation energy is -0.02 eV per atom.

Cell lengths 2.862, 2.862, 6.057 Å; angles 90.00, 90.00, 90.00 degrees
Sites, in units of the cell vectors:
Cr (0.000, 0.000, 0.000)
Cr (0.500, 0.500, 0.202)
Si (0.000, 0.000, 0.431)
W (0.500, 0.500, 0.707)

=====

6.
DFT (GGA-PBEsol) results for a relaxed La2TlCo crystal.

Values from the calculation:
The symmetry is P4/mmm, No. 123. Its formation energy from the elements is -0.008 eV per atom.

Cell lengths 5.226, 5.226, 3.790 Å; angles 90.00, 90.00, 90.00 degrees
Sites, in units of the cell vectors:
La (0.000, 0.500, 0.000)
La (0.500, 0.000, 0.000)
Tl (0.000, 0.000, 0.500)
Co (0.500, 0.500, 0.500)

=====

7.
DFT (GGA-PBEsol) results for a relaxed CaY2Al2 crystal.

Values from the calculation:
The symmetry is I4/mmm, No. 139. Its formation energy from the elements is 0.179 eV per atom.

Cell lengths 7.726, 7.726, 7.726 Å; angles 146.01, 146.01, 48.83 degrees
Sites, in units of the cell vectors:
Ca (0.000, 0.000, 0.000)
Y (0.383, 0.383, 0.000)
Y (0.617, 0.617, 0.000)
Al (0.250, 0.750, 0.500)
Al (0.750, 0.250, 0.500)

=====

8.
DFT (GGA-PBEsol) results for a relaxed Nb2ReBrN crystal.

Values from the calculation:
The symmetry is P4/mmm, No. 123. The raw formation energy is 2.56 eV per atom.

Cell lengths 4.663, 4.663, 4.451 Å; angles 90.00, 90.00, 90.00 degrees
Sites, in units of the cell vectors:
Nb (0.000, 0.500, 0.000)
Nb (0.500, 0.000, 0.000)
Re (0.000, 0.000, 0.500)
Br (0.000, 0.000, 0.000)
N (0.500, 0.500, 0.500)

=====

9.
DFT (GGA-PBEsol) results for a relaxed CoRe3Ni crystal.

Values from the calculation:
The symmetry is Pm-3m, No. 221. Its formation energy from the elements is 2.035 eV per atom.

Cell lengths 4.315, 4.315, 4.315 Å; angles 90.00, 90.00, 90.00 degrees
Sites, in units of the cell vectors:
Co (0.000, 0.000, 0.000)
Re (0.000, 0.500, 0.500)
Re (0.500, 0.000, 0.500)
Re (0.500, 0.500, 0.000)
Ni (0.500, 0.500, 0.500)

=====

Results for E: -6.09; -6.47; -3.62; -6.75; -10.03; -5.27; -4.61; -6.52; -8.74 (in eV per atom, following the order of the records).
Results for magnetization: 6.752; 0.458; 2.922; 1.650; 0.001; 0.565; 0.297; 0.000; 0.840 (in μB per cell, following the order of the records).